! ZrSbTe, optimized geometry, DFT GGA-PBE; values from VASP
! Crystal system   trigonal
! Energy   -5.795 eV per atom
! E_form (uncorrected)   -0.52 eV/atom
&SYSTEM
  ibrav = 0, nat = 3, ntyp = 3
/
ATOMIC_SPECIES
Zr 91.22 Zr.upf
Sb 121.76 Sb.upf
Te 127.60 Te.upf
CELL_PARAMETERS angstrom
3.736 0.000 0.000
-1.868 3.236 0.000
0.000 0.000 6.949
ATOMIC_POSITIONS crystal
Zr 0.000 0.000 0.000
Sb 0.667 0.333 0.299
Te 0.333 0.667 0.726